(1)
## Rh2WSe (SCAN)

Data for a PBEsol-optimized structure of Rh2WSe.

Computed properties:
symmetry = Immm (71)
energy relative to the elements, uncorrected = 0.19 eV per atom

a b c (Å): 5.089 5.089 5.089
angles (deg): 145.10 129.71 62.68
Atoms (fractional coordinates):
Rh 0.230 0.230 0.000
Rh 0.770 0.770 0.000
W 0.500 0.000 0.500
Se 0.000 0.500 0.500

***

(2)
## Y2RhSe (SCAN)

Data for a PBEsol-optimized structure of Y2RhSe.

Computed properties:
symmetry = Amm2 (38)
energy relative to the elements, uncorrected = -1.33 eV per atom

a b c (Å): 4.250 5.626 5.626
angles (deg): 38.98 90.00 90.00
Atoms (fractional coordinates):
Y 0.000 0.000 0.000
Y 0.500 0.278 0.278
Rh 0.000 0.733 0.733
Se 0.500 0.556 0.556

***

(3)
## YRhSe2 (SCAN)

Data for a PBEsol-optimized structure of YRhSe2.

Computed properties:
symmetry = P4/mmm (123)
energy relative to the elements, uncorrected = -0.63 eV per atom

a b c (Å): 3.372 3.372 6.532
angles (deg): 90.00 90.00 90.00
Atoms (fractional coordinates):
Y 0.000 0.000 0.000
Rh 0.000 0.000 0.500
Se 0.500 0.500 0.261
Se 0.500 0.500 0.739

***

(4)
## Y2RhSe (SCAN)

Data for a PBEsol-optimized structure of Y2RhSe.

Computed properties:
symmetry = R-3m (166)
energy relative to the elements, uncorrected = -1.41 eV per atom

a b c (Å): 7.316 7.316 7.316
angles (deg): 30.90 30.90 30.90
Atoms (fractional coordinates):
Y 0.243 0.243 0.243
Y 0.757 0.757 0.757
Rh 0.500 0.500 0.500
Se 0.000 0.000 0.000

***

(5)
## Y2RhSe (SCAN)

Data for a PBEsol-optimized structure of Y2RhSe.

Computed properties:
symmetry = R3m (160)
energy relative to the elements, uncorrected = -0.93 eV per atom

a b c (Å): 6.854 6.854 6.854
angles (deg): 35.30 35.30 35.30
Atoms (fractional coordinates):
Y 0.000 0.000 0.000
Y 0.186 0.186 0.186
Rh 0.774 0.774 0.774
Se 0.417 0.417 0.417

***

(6)
## Y2RhSe (SCAN)

Data for a PBEsol-optimized structure of Y2RhSe.

Computed properties:
symmetry = Immm (71)
energy relative to the elements, uncorrected = -1.05 eV per atom

a b c (Å): 4.962 4.962 4.962
angles (deg): 127.07 113.49 89.93
Atoms (fractional coordinates):
Y 0.245 0.245 0.000
Y 0.755 0.755 0.000
Rh 0.000 0.500 0.500
Se 0.500 0.000 0.500